[1]
Computed, not measured: crystalline La4TaAu at its relaxed geometry at the PBE-GGA level of DFT.

**Total energy**: -5.108 eV/atom
**Energy relative to the elements**: 0.699 eV per atom
**D(E_F)**: 8.0 states/eV/f.u.

a = 6.276 Å, b = 6.276 Å, c = 6.276 Å
α = 60.00°, β = 60.00°, γ = 60.00°
Element x y z (fractional)
La 0.124 0.124 0.124
La 0.124 0.124 0.627
La 0.124 0.627 0.124
La 0.627 0.124 0.124
Ta 0.750 0.750 0.750
Au 0.500 0.500 0.500

=====

[2]
Computed, not measured: crystalline BeGaO3 at its relaxed geometry at the PBE-GGA level of DFT.

**Total energy**: -5.191 eV/atom
**E_form (uncorrected)**: -0.8655 eV per atom
**D(E_F)**: 2.6 states/eV/f.u.

a = 3.416 Å, b = 3.416 Å, c = 3.416 Å
α = 90.00°, β = 90.00°, γ = 90.00°
Element x y z (fractional)
Be 0.000 0.000 0.000
Ga 0.500 0.500 0.500
O 0.000 0.000 0.500
O 0.000 0.500 0.000
O 0.500 0.000 0.000

=====

[3]
Computed, not measured: crystalline Be4TlP at its relaxed geometry at the PBE-GGA level of DFT.

**Total energy**: -3.160 eV/atom
**Energy relative to the elements**: 0.620 eV per atom
**D(E_F)**: 1.9 states/eV/f.u.

a = 4.762 Å, b = 4.762 Å, c = 4.762 Å
α = 60.00°, β = 60.00°, γ = 60.00°
Element x y z (fractional)
Be 0.123 0.123 0.123
Be 0.123 0.123 0.632
Be 0.123 0.632 0.123
Be 0.632 0.123 0.123
Tl 0.500 0.500 0.500
P 0.750 0.750 0.750

=====

[4]
Computed, not measured: crystalline Pr2Dy2Cd at its relaxed geometry at the PBE-GGA level of DFT.

**Total energy**: -4.049 eV/atom
**Energy relative to the elements**: -0.113 eV per atom
**D(E_F)**: 7.6 states/eV/f.u.

a = 11.986 Å, b = 11.986 Å, c = 11.986 Å
α = 162.44°, β = 162.44°, γ = 24.93°
Element x y z (fractional)
Pr 0.193 0.193 0.000
Pr 0.807 0.807 0.000
Dy 0.415 0.415 0.000
Dy 0.585 0.585 0.000
Cd 0.000 0.000 0.000